The following is a DFT calculation (PBE with a Hubbard U) of a relaxed structure of Pr2MnO6.

Unit cell a=6.3249 b=6.3249 c=6.3249 alpha=141.10 beta=128.86 gamma=66.06
Sites, in units of the cell vectors:
Pr (0.1773, 0.1773, 0.0000)
Pr (0.8227, 0.8227, 0.0000)
Mn (0.5000, 0.5000, 0.0000)
O (0.1102, 0.3556, 0.7547)
O (0.3706, 0.0000, 0.3706)
O (0.3991, 0.6444, 0.7547)
O (0.6009, 0.3556, 0.2453)
O (0.6294, 0.0000, 0.6294)
O (0.8898, 0.6444, 0.2453)

SG: Immm (71)
Uncorrected energy (eV per cell): -65.4
Total magnetization (μB/cell): 2.981